Nd3ZrSb5: single point on PBEsol structure, meta-GGA SCAN.

Output
* raw formation energy: -1.0703 eV per atom

a = 9.3871 Å, b = 9.3871 Å, c = 6.2432 Å
α = 90.00°, β = 90.00°, γ = 120.00°
Space group P6_3/mcm (No. 193)
Symmetry-distinct sites (fractional):
Nd1 0.0000 0.3819 0.2500 x6
Zr1 0.0000 0.0000 0.0000 x2
Sb1 0.0000 0.2657 0.7500 x6
Sb2 0.3333 0.6667 0.0000 x4

---

NdSc3: single point on PBEsol structure, meta-GGA SCAN.

Output
* energy of formation from the pure elements: 55 meV per atom

a = 6.7200 Å, b = 6.7200 Å, c = 5.2915 Å
α = 90.00°, β = 90.00°, γ = 120.00°
Space group P6_3/mmc (No. 194)
Symmetry-distinct sites (fractional):
Nd1 0.3333 0.6667 0.2500 x2
Sc1 0.1619 0.3238 0.7500 x6

---

Nd3Sc: single point on PBEsol structure, meta-GGA SCAN.

Output
* energy of formation from the pure elements: 40 meV per atom

a = 7.0870 Å, b = 7.0870 Å, c = 5.6348 Å
α = 90.00°, β = 90.00°, γ = 120.00°
Space group P6_3/mmc (No. 194)
Symmetry-distinct sites (fractional):
Nd1 0.1700 0.3399 0.2500 x6
Sc1 0.3333 0.6667 0.7500 x2

---

NdScSi: single point on PBEsol structure, meta-GGA SCAN.

Output
* raw formation energy: -0.6825 eV per atom

a = 4.240 Å, b = 4.240 Å, c = 15.658 Å
α = 90.00°, β = 90.00°, γ = 90.00°
Space group I4/mmm (No. 139)
Symmetry-distinct sites (fractional):
Nd1 0.000 0.000 0.177 x4
Sc1 0.000 0.500 0.000 x4
Si1 0.000 0.000 0.378 x4